# CeThCoRh (PBE, relaxed)
# Magnetization = 0.000 μB/atom
# ΔE_f = -0.561 eV/atom
# Uncorrected energy = -60.1 eV for the cell shown
data_CeThCoRh
_cell_length_a 3.965
_cell_length_b 3.840
_cell_length_c 11.314
_cell_angle_alpha 90.00
_cell_angle_beta 90.00
_cell_angle_gamma 90.00
_space_group_name_H-M_alt 'A m m 2'
_space_group_IT_number 38
_space_group_name_Hall 'A 2 -2'
loop_
_atom_site_label
_atom_site_type_symbol
_atom_site_fract_x
_atom_site_fract_y
_atom_site_fract_z
_atom_site_occupancy
Ce1 Ce 0.000 0.000 0.000 1
Th1 Th 0.500 0.000 0.272 1
Co1 Co 0.500 0.000 0.532 1
Rh1 Rh 0.000 0.000 0.722 1